LiSbAs2 PBE optimized geometry; ΔE_f (raw) = -0.048 eV per atom
1.0
3.7660 0.0000 0.0000
0.0000 3.7660 0.0000
0.0000 0.0000 5.8517
Li Sb As
1 1 2
Direct
0.0000 0.0000 0.0000 Li
0.0000 0.0000 0.5000 Sb
0.5000 0.5000 0.2074 As
0.5000 0.5000 0.7926 As

=====

Li2SbAs PBE optimized geometry; energy above the most stable polymorph in this dataset = 20 kJ/mol of formula units; ΔE_f (raw) = -0.378 eV per atom
1.0
2.0982 1.2114 5.7043
-2.0982 1.2114 5.7043
0.0000 -2.4228 5.7043
Li Sb As
2 1 1
Direct
0.0000 0.0000 0.0000 Li
0.2111 0.2111 0.2111 Li
0.4478 0.4478 0.4478 Sb
0.5966 0.5966 0.5966 As

=====

Li2SbAs PBE optimized geometry; energy above the most stable polymorph in this dataset = 25 kJ/mol of formula units; ΔE_f (raw) = -0.366 eV per atom
1.0
4.4651 -1.5407 0.0000
4.4651 1.5407 0.0000
-1.2294 0.0000 5.5751
Li Sb As
2 1 1
Direct
0.2434 0.2434 0.2291 Li
0.7566 0.7566 0.7709 Li
0.0000 0.0000 0.5000 Sb
0.5000 0.5000 0.0000 As

=====

LiSbAs2 PBE optimized geometry; ΔE_f (raw) = -0.051 eV per atom
1.0
3.7404 0.0000 0.0000
0.0000 3.7505 0.0000
0.0000 0.0000 6.7805
Li Sb As
1 1 2
Direct
0.0000 0.0000 0.0000 Li
0.5000 0.5000 0.4597 Sb
0.0000 0.0000 0.6014 As
0.5000 0.5000 0.0773 As

=====

Li2SbAs PBE optimized geometry; energy above the most stable polymorph in this dataset = 39 kJ/mol of formula units; ΔE_f (raw) = -0.329 eV per atom
1.0
-2.0230 2.0230 4.6915
2.0230 -2.0230 4.6915
2.0230 2.0230 -4.6915
Li Sb As
2 1 1
Direct
0.0000 0.0000 0.0000 Li
0.7500 0.2500 0.5000 Li
0.2500 0.7500 0.5000 Sb
0.5000 0.5000 0.0000 As

=====

Li2SbAs PBE optimized geometry; energy above the most stable polymorph in this dataset = 99 kJ/mol of formula units; ΔE_f (raw) = -0.175 eV per atom
1.0
3.1450 0.0000 0.0000
0.0000 3.1450 0.0000
0.0000 0.0000 8.2252
Li Sb As
2 1 1
Direct
0.0000 0.0000 0.0000 Li
0.5000 0.5000 0.1890 Li
0.0000 0.0000 0.4099 Sb
0.5000 0.5000 0.8341 As

=====

Li2SbAs PBE optimized geometry; energy above the most stable polymorph in this dataset = 93 kJ/mol of formula units; ΔE_f (raw) = -0.189 eV per atom
1.0
-3.8994 3.8994 2.7650
3.8994 -3.8994 2.7650
3.8994 3.8994 -2.7650
Li Sb As
4 2 2
Direct
0.0790 0.6250 0.9540 Li
0.3750 0.3290 0.4540 Li
0.6710 0.1250 0.0460 Li
0.8750 0.9210 0.5460 Li
0.2500 0.7500 0.5000 Sb
0.5000 0.5000 0.0000 Sb
0.0000 0.0000 0.0000 As
0.7500 0.2500 0.5000 As

=====

LiSbAs2 PBE optimized geometry; ΔE_f (raw) = 0.027 eV per atom
1.0
-2.1673 2.1673 4.4448
2.1673 -2.1673 4.4448
2.1673 2.1673 -4.4448
Li Sb As
1 1 2
Direct
0.0000 0.0000 0.0000 Li
0.5000 0.5000 0.0000 Sb
0.2500 0.7500 0.5000 As
0.7500 0.2500 0.5000 As

=====

Li2SbAs PBE optimized geometry; energy above the most stable polymorph in this dataset = 2 kJ/mol of formula units; ΔE_f (raw) = -0.426 eV per atom
1.0
-2.1199 2.1328 4.2177
2.1199 -2.1328 4.2177
2.1199 2.1328 -4.2177
Li Sb As
2 1 1
Direct
0.2493 0.2493 0.0000 Li
0.7507 0.7507 0.0000 Li
0.5000 0.0000 0.5000 Sb
0.0000 0.5000 0.5000 As

=====

LiSb3As PBE optimized geometry; energy above the most stable polymorph in this dataset = 0 kJ/mol of formula units; ΔE_f (raw) = 0.467 eV per atom
1.0
5.4459 0.0000 0.0000
0.0000 5.4459 0.0000
0.0000 0.0000 5.4459
Li Sb As
1 3 1
Direct
0.0000 0.0000 0.0000 Li
0.0000 0.5000 0.5000 Sb
0.5000 0.0000 0.5000 Sb
0.5000 0.5000 0.0000 Sb
0.5000 0.5000 0.5000 As

=====

Li2SbAs PBE optimized geometry; energy above the most stable polymorph in this dataset = 55 kJ/mol of formula units; ΔE_f (raw) = -0.290 eV per atom
1.0
1.6284 0.9401 8.5741
-1.6284 0.9401 8.5741
0.0000 -1.8803 8.5741
Li Sb As
2 1 1
Direct
0.2421 0.2421 0.2421 Li
0.7579 0.7579 0.7579 Li
0.0000 0.0000 0.0000 Sb
0.5000 0.5000 0.5000 As

=====

Li2SbAs PBE optimized geometry; energy above the most stable polymorph in this dataset = 7 kJ/mol of formula units; ΔE_f (raw) = -0.414 eV per atom
1.0
4.2314 0.0000 0.0000
0.0000 1.5318 6.0248
0.0000 -1.5318 6.0248
Li Sb As
2 1 1
Direct
0.0000 0.0000 0.0000 Li
0.0000 0.2714 0.2714 Li
0.5000 0.6212 0.6212 Sb
0.5000 0.8553 0.8553 As

=====

The lowest ΔE_f (raw) belongs to which entry?
number 9

=====

Among the records above, which one has the lowest ΔE_f (raw)?
number 9

=====

Look up the ΔE_f (raw) of the twelfth one.
-0.414 eV per atom